No. 1
Here is a geometry-optimized ScFeOs2 structure from Alexandria via LeMat-Bulk. Energies are from GGA-PBEsol.

Output
- formation energy from the elements (kJ/mol of formula units) = 39
- mass density (Mg/m³) = 13.7
- Fermi-level density of states (states/eV per atom) = 1.19
- energy above the lowest structure with this stoichiometry (meV per atom) = 78
- space group = Pmm2, No. 25
- E (eV per atom) = -9.900

a b c (Å): 2.771 3.821 5.498
angles (deg): 90.00 90.00 90.00
Site moments in Bohr magnetons follow the coordinates.
Atoms (fractional coordinates):
1 Fe 0.500 0.500 0.763  2.09
2 Sc 0.000 0.000 0.510  -0.08
3 Os 0.500 0.500 0.221  0.07
4 Os 0.000 0.000 0.007  0.06

No. 2
Here is a geometry-optimized Fe2SiOs structure from Alexandria via LeMat-Bulk. Energies are from GGA-PBEsol.

Output
- energy relative to the elements, uncorrected (meV/atom) = -188
- mass density (Mg/m³) = 11.9
- Fermi-level density of states (states/eV per atom) = 0.97
- space group = Immm, No. 71
- E (eV per atom) = -9.160

a b c (Å): 2.829 4.004 4.757
angles (deg): 114.89 107.30 90.00
Site moments in Bohr magnetons follow the coordinates.
Atoms (fractional coordinates):
1 Fe 0.736 0.736 0.471  1.57
2 Fe 0.264 0.264 0.529  1.57
3 Os 0.500 0.000 0.000  -0.07
4 Si 0.000 0.500 0.000  -0.02

No. 3
Here is a geometry-optimized Fe2SiOs structure from Alexandria via LeMat-Bulk. Energies are from GGA-PBEsol.

Output
- energy relative to the elements, uncorrected (meV/atom) = -221
- mass density (Mg/m³) = 11.7
- Fermi-level density of states (states/eV per atom) = 0.88
- space group = F-43m, No. 216
- E (eV per atom) = -9.193

a b c (Å): 4.052 4.052 4.052
angles (deg): 60.00 60.00 60.00
Site moments in Bohr magnetons follow the coordinates.
Atoms (fractional coordinates):
1 Fe 0.000 0.000 0.000  1.32
2 Fe 0.750 0.750 0.750  2.60
3 Si 0.250 0.250 0.250  0.01
4 Os 0.500 0.500 0.500  0.15

No. 4
Here is a geometry-optimized Fe2SiOs structure from Alexandria via LeMat-Bulk. Energies are from GGA-PBEsol.

Output
- energy relative to the elements, uncorrected (meV/atom) = -100
- mass density (Mg/m³) = 11.5
- Fermi-level density of states (states/eV per atom) = 0.97
- space group = P4/mmm, No. 123
- E (eV per atom) = -9.072

a b c (Å): 3.518 3.518 3.847
angles (deg): 90.00 90.00 90.00
Site moments in Bohr magnetons follow the coordinates.
Atoms (fractional coordinates):
1 Fe 0.000 0.500 0.000  2.06
2 Fe 0.500 0.000 0.000  2.06
3 Si 0.000 0.000 0.500  -0.03
4 Os 0.500 0.500 0.500  0.22

No. 5
Here is a geometry-optimized Fe2SiOs structure from Alexandria via LeMat-Bulk. Energies are from GGA-PBEsol.

Output
- energy relative to the elements, uncorrected (meV/atom) = 16
- mass density (Mg/m³) = 11.4
- Fermi-level density of states (states/eV per atom) = 0.86
- space group = R3m, No. 160
- E (eV per atom) = -8.957

a b c (Å): 2.669 2.669 7.928
angles (deg): 80.31 80.31 60.00
Site moments in Bohr magnetons follow the coordinates.
Atoms (fractional coordinates):
1 Fe 0.254 0.254 0.239  2.10
2 Fe 0.002 0.002 0.994  1.33
3 Os 0.499 0.499 0.503  -0.02
4 Si 0.745 0.745 0.765  -0.03

No. 6
Here is a geometry-optimized SrFe2Os structure from Alexandria via LeMat-Bulk. Energies are from GGA-PBEsol.

Output
- formation energy from the elements (kJ/mol of formula units) = 326
- mass density (Mg/m³) = 10.2
- Fermi-level density of states (states/eV per atom) = 1.19
- energy above the lowest structure with this stoichiometry (meV per atom) = 241
- space group = Imm2, No. 44
- E (eV per atom) = -7.150

a b c (Å): 2.731 4.816 5.580
angles (deg): 115.57 104.16 90.00
Site moments in Bohr magnetons follow the coordinates.
Atoms (fractional coordinates):
1 Sr 0.253 0.753 0.505  -0.06
2 Os 0.465 0.465 0.929  0.11
3 Fe 0.037 0.037 0.075  2.55
4 Fe 0.746 0.246 0.491  2.08

No. 7
Here is a geometry-optimized SrFeOs2 structure from Alexandria via LeMat-Bulk. Energies are from GGA-PBEsol.

Output
- formation energy from the elements (kJ/mol of formula units) = 255
- mass density (Mg/m³) = 13.6
- Fermi-level density of states (states/eV per atom) = 1.06
- space group = P4/mmm, No. 123
- E (eV per atom) = -8.148

a b c (Å): 2.789 2.789 8.248
angles (deg): 90.00 90.00 90.00
Site moments in Bohr magnetons follow the coordinates.
Atoms (fractional coordinates):
1 Fe 0.500 0.500 0.500  1.52
2 Os 0.000 0.000 0.310  0.03
3 Os 0.000 0.000 0.690  0.03
4 Sr 0.500 0.500 0.000  -0.02

No. 8
Here is a geometry-optimized SrFe2Os structure from Alexandria via LeMat-Bulk. Energies are from GGA-PBEsol.

Output
- formation energy from the elements (kJ/mol of formula units) = 234
- mass density (Mg/m³) = 10.0
- Fermi-level density of states (states/eV per atom) = 0.89
- energy above the lowest structure with this stoichiometry (meV per atom) = 0
- space group = P4mm, No. 99
- E (eV per atom) = -7.391

a b c (Å): 2.952 2.952 7.444
angles (deg): 90.00 90.00 90.00
Site moments in Bohr magnetons follow the coordinates.
Atoms (fractional coordinates):
1 Fe 0.000 0.000 0.080  2.41
2 Fe 0.500 0.500 0.242  1.71
3 Sr 0.500 0.500 0.753  -0.06
4 Os 0.000 0.000 0.425  -0.04